Compound: KIn3Ir
Source: Alexandria via LeMat-Bulk
Functional: PBE
Structure: optimized geometry

POSCAR file:
```
KIn3Ir
1.0
6.4118 0.0000 0.9340
0.0000 5.8325 0.0000
-1.0138 0.0000 6.7233
K Ir In
2 2 6
Cartesian
2.8131 1.4581 3.2619
2.5848 4.3744 4.3954
-0.2442 1.4581 1.6699
5.6422 4.3744 5.9874
3.7299 2.9143 7.4059
1.6680 2.9182 0.2514
3.7299 0.0019 7.4059
1.6680 5.8306 0.2514
-0.6322 1.4581 4.3393
6.0302 4.3744 3.3180
```

Calculated values
**Energy above the most stable polymorph in this dataset**: 0.144 eV per atom
**E_form**: -1 kJ per mole of atoms
**Total energy**: -18.2 eV/f.u.
**Crystal system**: monoclinic
**Magnetization**: 0.0 μB/f.u.
**Space group**: No. 11

Compound: KIn2Ir
Source: Alexandria via LeMat-Bulk
Functional: PBE
Structure: optimized geometry

POSCAR file:
```
KIn2Ir
1.0
-0.0939 6.6317 -5.3199
-3.5027 2.8308 -7.2116
0.4940 -3.0192 7.9328
In Ir K
2 1 1
Cartesian
-3.5891 9.4428 -12.5054
-2.7282 3.1258 -3.9038
-1.7391 4.5755 -6.0595
-0.4410 3.4929 -0.9273
```

Calculated values
**Energy above the most stable polymorph in this dataset**: 0.000 eV per atom
**E_form**: -1 kJ per mole of atoms
**Total energy**: -15.5 eV/f.u.
**Crystal system**: orthorhombic
**Magnetization**: 0.0 μB/f.u.
**Space group**: No. 44

Compound: K2In6Ir
Source: Alexandria via LeMat-Bulk
Functional: PBE
Structure: optimized geometry

POSCAR file:
```
K2In6Ir
1.0
-1.8070 3.4817 4.7248
-6.1378 0.8008 -2.9253
-5.0395 -4.4326 1.3513
K In Ir
2 6 1
Cartesian
-8.9118 0.4052 2.7845
-4.0725 -0.5553 0.3663
-6.8122 -2.3645 1.5530
-9.8177 -1.9681 0.1129
-7.3526 0.2106 -0.5512
-6.1721 2.2144 1.5978
-3.1666 1.8179 3.0379
-5.6317 -0.3607 3.7021
0.0000 0.0000 0.0000
```

Calculated values
**Energy above the most stable polymorph in this dataset**: 0.000 eV per atom
**E_form**: -7 kJ per mole of atoms
**Total energy**: -28.1 eV/f.u.
**Crystal system**: monoclinic
**Magnetization**: 0.0 μB/f.u.
**Space group**: No. 12

Compound: KIn2Ir
Source: Alexandria via LeMat-Bulk
Functional: PBE
Structure: optimized geometry

POSCAR file:
```
KIn2Ir
1.0
-0.1258 -4.3049 1.0618
2.2518 0.4569 2.1192
-5.7181 1.5803 5.7294
In Ir K
2 1 1
Cartesian
-0.0565 0.1504 0.6030
-1.8173 -1.5323 2.8372
-0.5325 0.8220 3.2697
-2.9189 -0.6892 6.1248
```

Calculated values
**Energy above the most stable polymorph in this dataset**: 0.053 eV per atom
**E_form**: 4 kJ per mole of atoms
**Total energy**: -15.3 eV/f.u.
**Crystal system**: orthorhombic
**Magnetization**: 0.0 μB/f.u.
**Space group**: No. 25

Compound: KIn6Ir
Source: Alexandria via LeMat-Bulk
Functional: PBE
Structure: optimized geometry

POSCAR file:
```
KIn6Ir
1.0
4.6947 0.0000 0.0000
0.0000 4.6947 0.0000
0.0000 0.0000 9.7803
K In Ir
1 6 1
Cartesian
0.0000 0.0000 0.0000
2.3473 0.0000 6.4135
0.0000 2.3473 6.4135
2.3473 2.3473 1.4486
2.3473 2.3473 8.3317
0.0000 2.3473 3.3668
2.3473 0.0000 3.3668
0.0000 0.0000 4.8901
```

Calculated values
**E_form**: -12 kJ per mole of atoms
**Total energy**: -27.4 eV/f.u.
**Crystal system**: tetragonal
**Magnetization**: 0.0 μB/f.u.
**Space group**: No. 123

Compound: KIn3Ir
Source: Alexandria via LeMat-Bulk
Functional: PBE
Structure: optimized geometry

POSCAR file:
```
KIn3Ir
1.0
-4.5588 5.7919 0.3991
1.0469 -3.6734 6.3165
4.5240 3.4733 1.2702
K Ir In
2 2 6
Cartesian
-0.2410 1.2791 4.0807
1.2529 4.3127 3.9050
1.2130 -1.1760 5.6156
-0.2011 6.7678 2.3702
-1.2588 3.6658 1.1794
-2.4900 4.4085 3.5336
3.5020 1.1833 4.4522
2.2708 1.9259 6.8064
0.0000 0.0000 0.0000
2.2620 1.7367 0.6351
```

Calculated values
**Energy above the most stable polymorph in this dataset**: 0.235 eV per atom
**E_form**: 7 kJ per mole of atoms
**Total energy**: -17.8 eV/f.u.
**Crystal system**: orthorhombic
**Magnetization**: 0.0 μB/f.u.
**Space group**: No. 63

Compound: KIn2Ir
Source: Alexandria via LeMat-Bulk
Functional: PBE
Structure: optimized geometry

POSCAR file:
```
KIn2Ir
1.0
-3.0894 -3.0308 -1.6674
3.4568 -2.7876 -1.3381
-0.1185 -1.9795 3.8178
In Ir K
2 1 1
Cartesian
0.0000 0.0000 0.0000
0.1837 -2.9092 -1.5027
-1.6040 -2.5052 1.0752
1.6692 -2.3835 1.2398
```

Calculated values
**Energy above the most stable polymorph in this dataset**: 0.515 eV per atom
**E_form**: 49 kJ per mole of atoms
**Total energy**: -13.4 eV/f.u.
**Crystal system**: tetragonal
**Magnetization**: 0.0 μB/f.u.
**Space group**: No. 123

Compound: KIn3Ir
Source: Alexandria via LeMat-Bulk
Functional: PBE
Structure: optimized geometry

POSCAR file:
```
KIn3Ir
1.0
4.2909 0.0000 5.7819
-2.1455 3.7160 5.7819
-2.1455 -3.7160 5.7819
K Ir In
2 2 6
Cartesian
0.0000 0.0000 1.6587
0.0000 0.0000 15.6869
0.0000 0.0000 5.3500
0.0000 0.0000 11.9956
0.9427 -1.6328 7.3587
-1.8854 0.0000 7.3587
-0.9427 -1.6328 9.9869
1.8854 0.0000 9.9869
-0.9427 1.6328 9.9869
0.9427 1.6328 7.3587
```

Calculated values
**Energy above the most stable polymorph in this dataset**: 0.063 eV per atom
**E_form**: -9 kJ per mole of atoms
**Total energy**: -18.6 eV/f.u.
**Crystal system**: trigonal
**Magnetization**: 0.0 μB/f.u.
**Space group**: No. 166

Compound: KLa2InIr
Source: Alexandria via LeMat-Bulk
Functional: PBE
Structure: optimized geometry

POSCAR file:
```
KLa2InIr
1.0
5.6564 0.0000 0.0000
0.0000 5.6564 0.0000
0.0000 0.0000 5.3899
K Ir In La
1 1 1 2
Cartesian
2.8282 2.8282 2.6949
0.0000 0.0000 0.0000
0.0000 0.0000 2.6949
0.0000 2.8282 0.0000
2.8282 0.0000 0.0000
```

Calculated values
**E_form**: -26 kJ per mole of atoms
**Total energy**: -23.9 eV/f.u.
**Crystal system**: tetragonal
**Magnetization**: 0.0 μB/f.u.
**Space group**: No. 123

Compound: KMgIn2Ir
Source: Alexandria via LeMat-Bulk
Functional: PBE
Structure: optimized geometry

POSCAR file:
```
KMgIn2Ir
1.0
5.2139 0.0000 0.0000
0.0000 5.2139 0.0000
0.0000 0.0000 5.1864
K Ir Mg In
1 1 1 2
Cartesian
2.6069 2.6069 2.5932
0.0000 0.0000 0.0000
0.0000 0.0000 2.5932
0.0000 2.6069 0.0000
2.6069 0.0000 0.0000
```

Calculated values
**E_form**: -21 kJ per mole of atoms
**Total energy**: -18.1 eV/f.u.
**Crystal system**: tetragonal
**Magnetization**: 0.0 μB/f.u.
**Space group**: No. 123

Compound: KMg2InIr
Source: Alexandria via LeMat-Bulk
Functional: PBE
Structure: optimized geometry

POSCAR file:
```
KMg2InIr
1.0
5.1441 0.0000 0.0000
0.0000 5.1441 0.0000
0.0000 0.0000 5.2087
K Ir Mg In
1 1 2 1
Cartesian
2.5720 2.5720 2.6043
0.0000 0.0000 0.0000
0.0000 2.5720 0.0000
2.5720 0.0000 0.0000
0.0000 0.0000 2.6043
```

Calculated values
**E_form**: -19 kJ per mole of atoms
**Total energy**: -16.9 eV/f.u.
**Crystal system**: tetragonal
**Magnetization**: 0.0 μB/f.u.
**Space group**: No. 123

Compound: KNa2InIr
Source: Alexandria via LeMat-Bulk
Functional: PBE
Structure: optimized geometry

POSCAR file:
```
KNa2InIr
1.0
5.7332 0.0000 0.0000
0.0000 5.1120 0.0000
0.0000 0.0000 5.7332
Na K Ir In
2 1 1 1
Cartesian
0.0000 0.0000 2.8666
2.8666 0.0000 0.0000
2.8666 2.5560 2.8666
0.0000 2.5560 0.0000
0.0000 0.0000 0.0000
```

Calculated values
**E_form**: 41 kJ per mole of atoms
**Total energy**: -13.2 eV/f.u.
**Crystal system**: tetragonal
**Magnetization**: 0.0 μB/f.u.
**Space group**: No. 123

Compound: KIn2IrO8
Source: Alexandria via LeMat-Bulk
Functional: PBE
Structure: optimized geometry

POSCAR file:
```
KIn2IrO8
1.0
5.1403 -0.0570 -0.0015
-0.0372 4.4351 0.0030
0.0069 0.0178 7.0436
K In Ir O
1 2 1 8
Cartesian
0.0034 0.0089 3.5218
2.5578 2.1999 5.3368
2.5522 2.1960 1.7083
0.0000 0.0000 0.0000
0.6748 3.3196 1.3269
3.4447 3.3240 7.0415
4.4214 1.0567 1.3175
4.4352 1.0763 5.7182
1.6653 1.0718 0.0036
0.6886 3.3392 5.7276
2.6597 3.4018 3.5220
2.4503 0.9941 3.5230
```

Calculated values
**Total energy**: -65.3 eV/f.u.
**Crystal system**: triclinic
**Magnetization**: 0.6 μB/f.u.
**Space group**: No. 2

Compound: KInIrO6
Source: Alexandria via LeMat-Bulk
Functional: PBE
Structure: optimized geometry

POSCAR file:
```
KInIrO6
1.0
-4.4908 -3.0867 1.0838
-0.7692 -2.0946 5.0883
-2.9125 4.7729 1.5244
K In Ir O
1 1 1 6
Cartesian
-8.1724 -0.4083 7.6965
-4.9628 -1.0677 4.8770
-3.2094 0.6595 2.8196
-1.3600 0.5806 2.4071
-3.7109 2.0659 1.6504
-4.9444 0.6953 3.5848
-2.6357 1.9415 4.0939
-3.0266 -0.9053 3.8755
-3.5792 -0.4217 1.3059
```

Calculated values
**Total energy**: -50.5 eV/f.u.
**Crystal system**: trigonal
**Magnetization**: 0.0 μB/f.u.
**Space group**: No. 149

Compound: K2InIr3O12
Source: Alexandria via LeMat-Bulk
Functional: PBE
Structure: optimized geometry

POSCAR file:
```
K2InIr3O12
1.0
7.3703 0.0744 0.0528
3.7046 6.3721 0.0528
3.7046 2.1564 5.9964
K In Ir O
2 1 3 12
Cartesian
9.1558 5.3295 3.7801
5.6236 3.2734 2.3218
0.0000 0.0000 0.0000
3.6852 0.0372 0.0264
1.8523 3.1860 0.0264
1.8523 1.0782 2.9982
6.8531 3.9891 5.5266
11.4821 6.6836 2.2146
9.4092 7.8609 5.5756
9.0665 2.7319 1.9377
11.4821 4.2996 5.5756
6.8531 6.5346 1.9377
7.9264 4.6138 0.5753
3.2973 1.9193 3.8873
5.3702 0.7420 0.5263
5.7129 5.8709 4.1642
3.2973 4.3032 0.5263
7.9264 2.0683 4.1642
```

Calculated values
**Total energy**: -107.0 eV/f.u.
**Crystal system**: trigonal
**Magnetization**: 4.6 μB/f.u.
**Space group**: No. 166

Compound: K2In6IrPt
Source: Alexandria via LeMat-Bulk
Functional: PBE
Structure: optimized geometry

POSCAR file:
```
K2In6IrPt
1.0
-0.9883 -7.0690 2.1116
1.3130 -2.2781 -7.0119
10.1968 -0.7795 2.1627
K In Ir Pt
4 12 2 2
Cartesian
2.4964 -5.3975 -3.7813
7.4312 -1.1114 -0.2429
8.6830 -5.8704 -2.4692
3.4209 -0.8049 -1.0935
2.3966 -4.3009 -0.1571
7.4697 -4.6888 0.9189
3.5207 -1.9014 -4.7176
8.6444 -2.2931 -3.6309
6.0748 -4.6362 -5.0530
5.6609 -7.5970 -4.1685
5.5184 -3.6657 -2.0795
5.1033 -6.6346 -1.1927
-0.1743 -6.6368 -1.5705
0.3989 -2.5367 -2.7953
-0.1575 -1.5662 0.1782
-0.7319 -5.6744 1.4054
4.9333 -4.4950 0.3802
0.9840 -1.7073 -5.2550
6.0840 -2.0998 -4.1821
-0.1667 -4.1025 -0.6926
```

Calculated values
**E_form**: -19 kJ per mole of atoms
**Total energy**: -35.5 eV/f.u.
**Crystal system**: orthorhombic
**Magnetization**: 0.0 μB/f.u.
**Space group**: No. 59

Compound: KRb2InIr
Source: Alexandria via LeMat-Bulk
Functional: PBE
Structure: optimized geometry

POSCAR file:
```
KRb2InIr
1.0
-5.8971 2.2431 0.3510
-0.7288 -2.7765 5.5002
2.1456 5.1868 2.9026
K Ir Rb In
1 1 2 1
Cartesian
-0.3644 -1.3883 2.7501
0.0000 0.0000 0.0000
1.0728 2.5934 1.4513
-2.9486 1.1215 0.1755
-2.2401 2.3267 4.3769
```

Calculated values
**E_form**: 78 kJ per mole of atoms
**Total energy**: -10.6 eV/f.u.
**Crystal system**: tetragonal
**Magnetization**: 1.4 μB/f.u.
**Space group**: No. 123

Compound: KRbInIr2
Source: Alexandria via LeMat-Bulk
Functional: PBE
Structure: optimized geometry

POSCAR file:
```
KRbInIr2
1.0
-3.4915 -0.4140 -3.8248
-4.1359 -1.5376 3.9420
-1.2698 4.9997 0.6180
K Ir Rb In
1 2 1 1
Cartesian
-4.4486 1.5240 0.3676
-0.6349 2.4998 0.3090
-1.7458 -0.2070 -1.9124
0.0000 0.0000 0.0000
-2.0679 -0.7688 1.9710
```

Calculated values
**E_form**: 196 kJ per mole of atoms
**Total energy**: -12.4 eV/f.u.
**Crystal system**: tetragonal
**Magnetization**: 0.0 μB/f.u.
**Space group**: No. 123

Compound: KInIr2Ru
Source: Alexandria via LeMat-Bulk
Functional: PBE
Structure: optimized geometry

POSCAR file:
```
KInIr2Ru
1.0
-3.5469 2.7143 2.3288
-3.5659 -2.2575 -2.7998
-0.4625 -3.6004 3.4921
Ru K Ir In
1 1 2 1
Cartesian
-1.7830 -1.1288 -1.3999
-3.7877 -1.5718 1.5105
-0.2312 -1.8002 1.7460
-1.7734 1.3572 1.1644
0.0000 0.0000 0.0000
```

Calculated values
**E_form**: 166 kJ per mole of atoms
**Total energy**: -22.2 eV/f.u.
**Crystal system**: tetragonal
**Magnetization**: 3.7 μB/f.u.
**Space group**: No. 123

Compound: KIn2SbIr
Source: Alexandria via LeMat-Bulk
Functional: PBE
Structure: optimized geometry

POSCAR file:
```
KIn2SbIr
1.0
-1.8913 4.6036 2.7896
-3.5309 0.6029 -3.3888
-3.5049 -3.2973 3.0652
Sb K Ir In
1 1 1 2
Cartesian
-4.4635 0.9546 1.2330
0.0000 0.0000 0.0000
-1.7655 0.3014 -1.6944
-1.7524 -1.6486 1.5326
-0.9456 2.3018 1.3948
```

Calculated values
**Total energy**: -11.8 eV/f.u.
**Crystal system**: tetragonal
**Magnetization**: 0.0 μB/f.u.
**Space group**: No. 123